VASP calculation (PBE-GGA) on NbPdAu after structural relaxation.

Values from the calculation:
Space-group type: I4mm
Energy of formation: -0.24 eV per atom
Relative energy among the computed polymorphs: 68 meV/atom
Magnetic moment: 0.0 μB per formula unit

abc: 2.884 2.884 6.450
angles: 102.92 102.92 90.00
Element x y z (fractional)
Nb (0.671, 0.671, 0.343)
Au (0.000, 0.000, 0.001)
Pd (0.328, 0.328, 0.656)